Entry 1:
ReNi2Pt8 | GGA-PBE | relaxed

Properties
formation enthalpy at 0 K = -0.03 eV/atom

a b c (Å): 3.903 7.275 7.239
angles (deg): 120.16 105.64 90.00
Positions (direct):
Pt  0.000  0.279  0.000
Pt  0.338  0.572  0.675
Pt  0.842  0.842  0.685
Pt  0.000  0.721  0.000
Pt  0.662  0.428  0.325
Pt  0.338  0.104  0.675
Pt  0.158  0.158  0.315
Pt  0.662  0.896  0.325
Ni  0.173  0.673  0.346
Ni  0.827  0.327  0.654
Re  0.500  0.000  0.000



Entry 2:
ReNiPt2 | GGA-PBE | relaxed

Properties
formation enthalpy at 0 K = -0.03 eV/atom

a b c (Å): 8.881 8.881 8.881
angles (deg): 17.89 17.89 17.89
Positions (direct):
Ni  0.750  0.750  0.750
Pt  0.498  0.498  0.498
Pt  0.002  0.002  0.002
Re  0.250  0.250  0.250



Total magnetization values (in μB per atom) by entry order: 0.137 0.044.